No. 1
{"formula": "AcPuMg", "functional": "PBE-GGA", "state": "relaxed", "final_energy_ev_per_atom": -6.0755, "de_polymorph_ev_per_atom": 0.000, "lattice": [[0.000, 3.883, 3.883], [3.883, 0.000, 3.883], [3.883, 3.883, 0.000]], "species": ["Ac", "Pu", "Mg"], "frac_coords": [[0.000, 0.000, 0.000], [0.500, 0.500, 0.500], [0.250, 0.250, 0.250]]}

No. 2
{"formula": "AcMgRe", "functional": "PBE-GGA", "state": "relaxed", "final_energy_ev_per_atom": -4.4634, "lattice": [[0.000, 3.597, 3.597], [3.597, 0.000, 3.597], [3.597, 3.597, 0.000]], "species": ["Ac", "Mg", "Re"], "frac_coords": [[0.000, 0.000, 0.000], [0.750, 0.750, 0.750], [0.250, 0.250, 0.250]]}

No. 3
{"formula": "AcSmMg", "functional": "PBE-GGA", "state": "relaxed", "final_energy_ev_per_atom": -3.1051, "de_polymorph_ev_per_atom": 0.000, "lattice": [[0.000, 3.897, 3.897], [3.897, 0.000, 3.897], [3.897, 3.897, 0.000]], "species": ["Ac", "Sm", "Mg"], "frac_coords": [[0.000, 0.000, 0.000], [0.500, 0.500, 0.500], [0.250, 0.250, 0.250]]}

No. 4
{"formula": "AcTbMg", "functional": "PBE-GGA", "state": "relaxed", "final_energy_ev_per_atom": -3.0600, "de_polymorph_ev_per_atom": 0.000, "lattice": [[0.000, 3.873, 3.873], [3.873, 0.000, 3.873], [3.873, 3.873, 0.000]], "species": ["Ac", "Tb", "Mg"], "frac_coords": [[0.000, 0.000, 0.000], [0.500, 0.500, 0.500], [0.250, 0.250, 0.250]]}

Copy entry 1 word for word.
{"formula": "AcPuMg", "functional": "PBE-GGA", "state": "relaxed", "final_energy_ev_per_atom": -6.0755, "de_polymorph_ev_per_atom": 0.000, "lattice": [[0.000, 3.883, 3.883], [3.883, 0.000, 3.883], [3.883, 3.883, 0.000]], "species": ["Ac", "Pu", "Mg"], "frac_coords": [[0.000, 0.000, 0.000], [0.500, 0.500, 0.500], [0.250, 0.250, 0.250]]}